A plane-wave DFT calculation with PBE was carried out for a relaxed Ac4Ir2Rh crystal.

extended XYZ file:
```
7
Lattice="-1.566 -3.381 2.537 1.529 -4.941 -5.641 5.953 3.205 3.942" Properties=species:S:1:pos:R:3 pbc="T T T"
Ac 3.299 -1.582 3.933
Ac 2.617 -3.535 -3.096
Ac 0.964 -2.773 0.904
Ac 4.953 -2.344 -0.067
Ir 3.065 -4.659 -0.314
Ir 2.852 -0.457 1.151
Rh 0.000 0.000 0.000
```

Properties
Final energy, eV/atom: -6.563
Magnetic moment, μB/f.u.: 0.0
ΔE to the lowest computed polymorph, eV per atom: 0.000
ΔE_f, eV per formula unit: -4.4